(1)
# CsRhC | Alexandria via LeMat-Bulk | PBE | relaxed
data_CsRhC
_chemical_formula_sum 'Cs8 Rh8 C8'
_cell_length_a 5.7861
_cell_length_b 22.4643
_cell_length_c 5.7583
_cell_angle_alpha 90.00
_cell_angle_beta 90.00
_cell_angle_gamma 90.00
_space_group_name_H-M_alt 'C m c e'
_space_group_IT_number 64
_space_group_name_Hall '-C 2ac 2'
loop_
_atom_site_label
_atom_site_type_symbol
_atom_site_fract_x
_atom_site_fract_y
_atom_site_fract_z
Cs1 Cs 0.0000 0.1250 0.0038
Rh1 Rh 0.2500 0.0007 0.7500
C1 C 0.0000 0.0311 0.5358
# * calculated volume: 31.19 Å³ per atom
# * calculated formation energy: 0.44 eV/atom
# * M_tot: 0.00 μB/f.u.

---

(2)
# YZrTc2 | Alexandria via LeMat-Bulk | PBE | relaxed
data_YZrTc2
_chemical_formula_sum 'Y1 Zr1 Tc2'
_cell_length_a 3.1031
_cell_length_b 4.3210
_cell_length_c 5.9362
_cell_angle_alpha 90.00
_cell_angle_beta 98.76
_cell_angle_gamma 90.00
_space_group_name_H-M_alt 'P 1 2/m 1'
_space_group_IT_number 10
loop_
_space_group_symop_operation_xyz
'x,y,z'
'-x,-y,-z'
'-x,y,-z'
'x,-y,z'
loop_
_atom_site_label
_atom_site_type_symbol
_atom_site_fract_x
_atom_site_fract_y
_atom_site_fract_z
Y1 Y 0.0000 0.0000 0.0000
Zr1 Zr 0.5000 0.0000 0.5000
Tc1 Tc 0.2560 0.5000 0.7052
# * calculated volume: 19.67 Å³ per atom
# * calculated formation energy: 0.10 eV/atom
# * M_tot: 0.00 μB/f.u.

---

(3)
# DyZrZnPd | Alexandria via LeMat-Bulk | PBE | relaxed
data_DyZrZnPd
_chemical_formula_sum 'Dy4 Zr4 Zn4 Pd4'
_cell_length_a 6.8893
_cell_length_b 6.8893
_cell_length_c 6.8893
_cell_angle_alpha 90.00
_cell_angle_beta 90.00
_cell_angle_gamma 90.00
_space_group_name_H-M_alt 'F -4 3 m'
_space_group_IT_number 216
_space_group_name_Hall 'F -4 2 3'
loop_
_atom_site_label
_atom_site_type_symbol
_atom_site_fract_x
_atom_site_fract_y
_atom_site_fract_z
Dy1 Dy 0.0000 0.0000 0.0000
Zr1 Zr 0.0000 0.0000 0.5000
Zn1 Zn 0.2500 0.2500 0.2500
Pd1 Pd 0.2500 0.2500 0.7500
# * calculated volume: 20.44 Å³ per atom
# * calculated formation energy: -0.42 eV/atom
# * M_tot: 0.02 μB/f.u.

---

(4)
# Ni2AgCl | Alexandria via LeMat-Bulk | PBE | relaxed
data_Ni2AgCl
_chemical_formula_sum 'Ni8 Ag4 Cl4'
_cell_length_a 6.2416
_cell_length_b 6.2416
_cell_length_c 6.2416
_cell_angle_alpha 90.00
_cell_angle_beta 90.00
_cell_angle_gamma 90.00
_space_group_name_H-M_alt 'F -4 3 m'
_space_group_IT_number 216
_space_group_name_Hall 'F -4 2 3'
loop_
_atom_site_label
_atom_site_type_symbol
_atom_site_fract_x
_atom_site_fract_y
_atom_site_fract_z
Ni1 Ni 0.0000 0.0000 0.0000
Ni2 Ni 0.2500 0.2500 0.2500
Ag1 Ag 0.2500 0.2500 0.7500
Cl1 Cl 0.0000 0.0000 0.5000
# * calculated volume: 15.20 Å³ per atom
# * M_tot: 1.30 μB/f.u.
# * formation energy from raw total energies: 647 meV per atom

---

(5)
# KLa2Au | Alexandria via LeMat-Bulk | PBE | relaxed
data_KLa2Au
_chemical_formula_sum 'K2 La4 Au2'
_cell_length_a 22.0782
_cell_length_b 3.9834
_cell_length_c 4.0010
_cell_angle_alpha 90.00
_cell_angle_beta 100.39
_cell_angle_gamma 90.00
_space_group_name_H-M_alt 'C 1 m 1'
_space_group_IT_number 8
loop_
_space_group_symop_operation_xyz
'x,y,z'
'x,-y,z'
'x+1/2,y+1/2,z'
'x+1/2,-y+1/2,z'
loop_
_atom_site_label
_atom_site_type_symbol
_atom_site_fract_x
_atom_site_fract_y
_atom_site_fract_z
K1 K 0.0000 0.0000 0.0000
La1 La 0.1795 0.0000 0.6786
La2 La 0.3396 0.0000 0.3405
Au1 Au 0.2341 0.5000 0.2330
# * calculated volume: 43.26 Å³ per atom
# * calculated formation energy: -0.14 eV/atom
# * M_tot: 0.00 μB/f.u.

---

(6)
# Sm2SnRh | Alexandria via LeMat-Bulk | PBE | relaxed
data_Sm2SnRh
_chemical_formula_sum 'Sm2 Sn1 Rh1'
_cell_length_a 3.5101
_cell_length_b 3.5101
_cell_length_c 8.0556
_cell_angle_alpha 90.00
_cell_angle_beta 90.00
_cell_angle_gamma 90.00
_space_group_name_H-M_alt 'P 4/m m m'
_space_group_IT_number 123
_space_group_name_Hall '-P 4 2'
loop_
_atom_site_label
_atom_site_type_symbol
_atom_site_fract_x
_atom_site_fract_y
_atom_site_fract_z
Sm1 Sm 0.0000 0.0000 0.2146
Sn1 Sn 0.5000 0.5000 0.5000
Rh1 Rh 0.5000 0.5000 0.0000
# * calculated volume: 24.81 Å³ per atom
# * calculated formation energy: -0.70 eV/atom
# * M_tot: 0.00 μB/f.u.

---

(7)
# LiBe3Al | Alexandria via LeMat-Bulk | PBE | relaxed
data_LiBe3Al
_chemical_formula_sum 'Li1 Be3 Al1'
_cell_length_a 3.8720
_cell_length_b 3.8720
_cell_length_c 3.8720
_cell_angle_alpha 90.00
_cell_angle_beta 90.00
_cell_angle_gamma 90.00
_space_group_name_H-M_alt 'P m -3 m'
_space_group_IT_number 221
_space_group_name_Hall '-P 4 2 3'
loop_
_atom_site_label
_atom_site_type_symbol
_atom_site_fract_x
_atom_site_fract_y
_atom_site_fract_z
Li1 Li 0.0000 0.0000 0.0000
Be1 Be 0.0000 0.0000 0.5000
Al1 Al 0.5000 0.5000 0.5000
# * calculated volume: 11.61 Å³ per atom
# * calculated formation energy: 0.87 eV/atom
# * M_tot: 0.00 μB/f.u.

---

(8)
# Pr2HfTl3Te6 | Alexandria via LeMat-Bulk | PBE | relaxed
data_Pr2HfTl3Te6
_chemical_formula_sum 'Pr4 Hf2 Tl6 Te12'
_cell_length_a 7.6915
_cell_length_b 13.2836
_cell_length_c 8.6162
_cell_angle_alpha 90.00
_cell_angle_beta 107.28
_cell_angle_gamma 90.00
_space_group_name_H-M_alt 'C 1 2/m 1'
_space_group_IT_number 12
loop_
_space_group_symop_operation_xyz
'x,y,z'
'-x,-y,-z'
'-x,y,-z'
'x,-y,z'
'x+1/2,y+1/2,z'
'-x+1/2,-y+1/2,-z'
'-x+1/2,y+1/2,-z'
'x+1/2,-y+1/2,z'
loop_
_atom_site_label
_atom_site_type_symbol
_atom_site_fract_x
_atom_site_fract_y
_atom_site_fract_z
Pr1 Pr 0.0000 0.1653 0.0000
Hf1 Hf 0.0000 0.5000 0.0000
Tl1 Tl 0.0000 0.0000 0.5000
Tl2 Tl 0.0000 0.3249 0.5000
Te1 Te 0.2247 0.3462 0.2141
Te2 Te 0.2325 0.5000 0.7788
# * calculated volume: 35.02 Å³ per atom
# * M_tot: 0.00 μB/f.u.
# * formation energy from raw total energies: -880 meV per atom